This record from Alexandria via LeMat-Bulk describes an optimized crystal structure of BaCoPO2. The functional is GGA+U.

Results
- magnetic moment (Bohr magnetons per cell) = 2.19
- total energy (Ry per atom) = -0.3771
- mass density (kg/m³) = 5427
- E above lowest polymorph (meV per atom) = 0

a = 4.2879 Å, b = 4.2879 Å, c = 4.3141 Å
α = 90.00°, β = 90.00°, γ = 90.00°
Space group P4/mmm (No. 123)
Asymmetric unit:
Ba  0.0000  0.0000  0.0000 [1 per cell]
Co  0.5000  0.5000  0.5000 [1 per cell]
P  0.5000  0.5000  0.0000 [1 per cell]
O  0.0000  0.5000  0.5000 [2 per cell]